1.
First-principles (PBE) data for crystalline Ce4TmLu at its relaxed geometry, as listed in Alexandria.

It has space group F-43m (No. 216), with a = 8.868 Å, b = 8.868 Å, c = 8.868 Å, α = 90.00°, β = 90.00° and γ = 90.00°. The asymmetric unit holds Ce at (0.124, 0.124, 0.376), Tm at (0.000, 0.000, 0.000) and Lu at (0.250, 0.250, 0.750).

The value obtained for the formation energy is 0.21 eV/atom.



2.
First-principles (PBE) data for crystalline CaAsP at its relaxed geometry, as listed in Alexandria.

It has space group Cm (No. 8), with a = 9.530 Å, b = 3.776 Å, c = 4.212 Å, α = 90.00°, β = 109.21° and γ = 90.00°. The asymmetric unit holds Ca at (0.000, 0.000, 0.000), As at (0.260, 0.500, 0.332) and P at (0.237, 0.000, 0.678).

The value obtained for the formation energy is -0.65 eV/atom.



3.
First-principles (PBE) data for crystalline CsRbTl4As2 at its relaxed geometry, as listed in Alexandria.

It has space group P4/mmm (No. 123), with a = 4.950 Å, b = 4.950 Å, c = 12.429 Å, α = 90.00°, β = 90.00° and γ = 90.00°. The asymmetric unit holds Cs at (0.000, 0.000, 0.000), Rb at (0.000, 0.000, 0.500), Tl at (0.000, 0.500, 0.252) and As at (0.500, 0.500, 0.103).

The value obtained for the formation energy is -0.18 eV/atom.



4.
First-principles (PBE) data for crystalline TeAs2O4 at its relaxed geometry, as listed in Alexandria.

It has space group Cm (No. 8), with a = 5.996 Å, b = 11.728 Å, c = 3.575 Å, α = 90.00°, β = 90.31° and γ = 90.00°. The asymmetric unit holds Te at (0.000, 0.000, 0.000), As at (0.249, 0.250, 0.685), O at (0.245, 0.131, 0.000) and O at (0.254, 0.370, 0.998).

The calculation puts the energy relative to the elements, uncorrected at -766 meV per atom.



5.
First-principles (PBE) data for crystalline NaPmMgIn at its relaxed geometry, as listed in Alexandria.

It has space group F-43m (No. 216), with a = 7.466 Å, b = 7.466 Å, c = 7.466 Å, α = 90.00°, β = 90.00° and γ = 90.00°. The asymmetric unit holds Na at (0.000, 0.000, 0.000), Pm at (0.250, 0.250, 0.750), Mg at (0.250, 0.250, 0.250) and In at (0.000, 0.000, 0.500).

The value obtained for the formation energy is -0.16 eV/atom.



6.
First-principles (PBE) data for crystalline AlCrAs at its relaxed geometry, as listed in Alexandria.

It has space group F-43m (No. 216), with a = 6.016 Å, b = 6.016 Å, c = 6.016 Å, α = 90.00°, β = 90.00° and γ = 90.00°. The asymmetric unit holds Al at (0.000, 0.000, 0.000), Cr at (0.250, 0.250, 0.750) and As at (0.000, 0.000, 0.500).

The value obtained for the formation energy is 0.11 eV/atom.



7.
First-principles (PBE) data for crystalline TePtSe2 at its relaxed geometry, as listed in Alexandria.

It has space group Cmmm (No. 65), with a = 3.455 Å, b = 6.176 Å, c = 9.048 Å, α = 90.00°, β = 90.00° and γ = 90.00°. The asymmetric unit holds Te at (0.000, 0.000, 0.000), Pt at (0.000, 0.000, 0.500) and Se at (0.000, 0.500, 0.307).

The calculation puts the energy relative to the elements, uncorrected at 255 meV per atom.



8.
First-principles (PBE) data for crystalline La5PrAl6 at its relaxed geometry, as listed in Alexandria.

It has space group Immm (No. 71), with a = 5.364 Å, b = 7.582 Å, c = 16.112 Å, α = 90.00°, β = 90.00° and γ = 90.00°. The asymmetric unit holds La at (0.000, 0.000, 0.000), La at (0.000, 0.000, 0.330), La at (0.000, 0.500, 0.335), Pr at (0.000, 0.500, 0.000), Al at (0.000, 0.242, 0.500) and Al at (0.000, 0.254, 0.165).

The value obtained for the formation energy is -0.35 eV/atom.



no.,DOS(E_F) (states/eV/cell)
1,74.35
2,1.09
3,2.09
4,2.39
5,10.76
6,6.16
7,5.63
8,9.00